# K2AgIBr | Alexandria | PBE-GGA | optimized geometry
# formation energy without anion corrections = -2.1 eV per formula unit
# N(E_F) = 1.7 states/eV/cell
data_K2AgIBr
_chemical_formula_sum 'K2 Ag1 I1 Br1'
_space_group_name_H-M_alt 'P 4/m m m'
_space_group_IT_number 123
_space_group_name_Hall '-P 4 2'
_cell_length_a 6.4358
_cell_length_b 6.4358
_cell_length_c 5.9079
_cell_angle_alpha 90.00
_cell_angle_beta 90.00
_cell_angle_gamma 90.00
loop_
_atom_site_label
_atom_site_type_symbol
_atom_site_fract_x
_atom_site_fract_y
_atom_site_fract_z
K1 K 0.0000 0.5000 0.0000
Ag1 Ag 0.0000 0.0000 0.5000
I1 I 0.5000 0.5000 0.5000
Br1 Br 0.5000 0.5000 0.0000